CePu2Tl3S6: relaxed, PBE-GGA.

Cell: 7.1350 7.1350 7.8254 Å, 98.74 98.74 120.00°
With the nearest neighbours (Å) after each atom.
Positions (direct):
Ce (0.0000, 0.0000, 0.0000)  6 S 2.81
Pu (0.3334, 0.6666, 0.0000)  6 S 2.78
Pu (0.6666, 0.3334, 0.0000)  6 S 2.78
Tl (0.1679, 0.8321, 0.5000)  6 S 3.26-3.30
Tl (0.8321, 0.1679, 0.5000)  6 S 3.26-3.30
Tl (0.5000, 0.5000, 0.5000)  6 S 3.27-3.29
S (0.9346, 0.5980, 0.8037)  2 Pu 2.78, 1 Ce 2.81
S (0.7289, 0.7289, 0.1962)  2 Pu 2.78, 1 Ce 2.81
S (0.0654, 0.4020, 0.1963)  2 Pu 2.78, 1 Ce 2.81
S (0.5980, 0.9346, 0.8037)  2 Pu 2.78, 1 Ce 2.81
S (0.2711, 0.2711, 0.8038)  2 Pu 2.78, 1 Ce 2.81
S (0.4020, 0.0654, 0.1963)  2 Pu 2.78, 1 Ce 2.81

Results
formation energy (no corrections)	-1.2855	eV per atom
crystal system	monoclinic
ρ	7.2	g/cm³
volume	329	Å³/cell